This record from the Alexandria database describes an optimized crystal structure of La2SnAu. The functional is PBE.

Results
* formation energy from the elements: -0.78 eV per atom
* E_tot: -5.0658 eV per atom
* total magnetization: 0.001 μB per atom

Cell lengths 4.6418, 6.4320, 8.7494 Å; angles 111.44, 90.00, 90.00 degrees
Positions (direct):
La 0.2500 0.7846 0.5604
La 0.2500 0.7742 0.0846
La 0.7500 0.2154 0.4396
La 0.7500 0.2258 0.9154
Au 0.7500 0.6576 0.2935
Au 0.2500 0.3424 0.7065
Sn 0.7500 0.6751 0.7945
Sn 0.2500 0.3249 0.2055

This record from the Alexandria database describes an optimized crystal structure of Ba2Li2Zn3. The functional is PBE.

Results
* formation energy from the elements: -0.12 eV per atom
* E_tot: -1.7641 eV per atom
* total magnetization: 0.000 μB per atom

Cell lengths 4.8289, 8.2600, 6.4970 Å; angles 58.48, 68.18, 73.00 degrees
Positions (direct):
Li 0.4221 0.1819 0.9738
Li 0.5779 0.8181 0.0262
Zn 0.0427 0.6422 0.2724
Zn 0.0000 0.0000 0.0000
Zn 0.9573 0.3578 0.7276
Ba 0.6830 0.2761 0.3579
Ba 0.3170 0.7239 0.6421

This record from the Alexandria database describes an optimized crystal structure of CuTe3O. The functional is PBE.

Results
* E_form (uncorrected): 0.89 eV/atom
* ΔE to the lowest computed polymorph: 2.42 eV per formula unit
* E_tot: -2.8047 eV per atom
* total magnetization: 0.000 μB per atom

Cell lengths 5.0266, 5.0266, 5.0266 Å; angles 90.00, 90.00, 90.00 degrees
Positions (direct):
Cu 0.0000 0.0000 0.0000
Te 0.0000 0.0000 0.5000
Te 0.0000 0.5000 0.0000
Te 0.5000 0.0000 0.0000
O 0.5000 0.5000 0.5000

This record from the Alexandria database describes an optimized crystal structure of ThSe2O7. The functional is PBE.

Results
* E_form (uncorrected): -1.66 eV/atom
* E_tot: -6.5698 eV per atom
* total magnetization: 0.000 μB per atom

Cell lengths 9.6625, 7.1534, 9.1909 Å; angles 76.43, 90.00, 90.00 degrees
Positions (direct):
Se 0.9025 0.6710 0.7468
Se 0.8178 0.1202 0.9819
Se 0.5975 0.6710 0.2468
Se 0.6822 0.1202 0.4819
Se 0.1822 0.8798 0.0181
Se 0.0975 0.3290 0.2532
Se 0.4025 0.3290 0.7532
Se 0.3178 0.8798 0.5181
O 0.0898 0.7312 0.1513
O 0.9102 0.2688 0.8487
O 0.5898 0.2688 0.3487
O 0.7639 0.9389 0.9092
O 0.4102 0.7312 0.6513
O 0.5835 0.0483 0.6328
O 0.5582 0.8954 0.1256
O 0.3101 0.7470 0.9750
O 0.2639 0.0611 0.5908
O 0.2749 0.3338 0.2450
O 0.5637 0.5516 0.1048
O 0.2361 0.0611 0.0908
O 0.9165 0.0483 0.1328
O 0.7749 0.6662 0.2550
O 0.1899 0.7470 0.4750
O 0.4363 0.4484 0.8952
O 0.9418 0.8954 0.6256
O 0.9363 0.5516 0.6048
O 0.0582 0.1046 0.3744
O 0.7361 0.9389 0.4092
O 0.0637 0.4484 0.3952
O 0.8101 0.2530 0.5250
O 0.2251 0.3338 0.7450
O 0.6899 0.2530 0.0250
O 0.4418 0.1046 0.8744
O 0.4165 0.9517 0.3672
O 0.7251 0.6662 0.7550
O 0.0835 0.9517 0.8672
Th 0.0385 0.2062 0.6345
Th 0.5385 0.7938 0.8655
Th 0.4615 0.2062 0.1345
Th 0.9615 0.7938 0.3655

This record from the Alexandria database describes an optimized crystal structure of NaGe3Pt3. The functional is PBE.

Results
* formation energy from the elements: -0.31 eV per atom
* ΔE to the lowest computed polymorph: 0.28 eV per formula unit
* E_tot: -5.0642 eV per atom
* total magnetization: 0.000 μB per atom

Cell lengths 6.9131, 6.9131, 6.9131 Å; angles 90.00, 90.00, 90.00 degrees
Positions (direct):
Pt 0.2500 0.5000 0.0000
Pt 0.5000 0.0000 0.2500
Pt 0.7500 0.5000 0.0000
Pt 0.0000 0.7500 0.5000
Pt 0.0000 0.2500 0.5000
Pt 0.5000 0.0000 0.7500
Ge 0.5000 0.2500 0.0000
Ge 0.2500 0.0000 0.5000
Ge 0.0000 0.5000 0.2500
Ge 0.5000 0.7500 0.0000
Ge 0.0000 0.5000 0.7500
Ge 0.7500 0.0000 0.5000
Na 0.0000 0.0000 0.0000
Na 0.5000 0.5000 0.5000

This record from the Alexandria database describes an optimized crystal structure of TbAlZn2Au4. The functional is PBE.

Results
* formation energy from the elements: -0.47 eV per atom
* E_tot: -3.4742 eV per atom
* total magnetization: 0.000 μB per atom

Cell lengths 4.5169, 4.5169, 8.7749 Å; angles 75.09, 75.09, 60.00 degrees
Positions (direct):
Au 0.3946 0.3946 0.8161
Au 0.1329 0.1329 0.6013
Au 0.6054 0.6054 0.1839
Au 0.8671 0.8671 0.3987
Al 0.5000 0.5000 0.5000
Zn 0.2503 0.2503 0.2491
Zn 0.7497 0.7497 0.7509
Tb 0.0000 0.0000 0.0000

This record from the Alexandria database describes an optimized crystal structure of InRe2Mo. The functional is PBE.

Results
* formation energy from the elements: 0.38 eV per atom
* E_tot: -9.2355 eV per atom
* total magnetization: 0.000 μB per atom

Cell lengths 3.1704, 3.1704, 6.5970 Å; angles 90.00, 90.00, 90.00 degrees
Positions (direct):
Mo 0.5000 0.5000 0.7500
Re 0.0000 0.0000 0.9767
Re 0.0000 0.0000 0.5233
In 0.5000 0.5000 0.2500

This record from the Alexandria database describes an optimized crystal structure of HfVRu2. The functional is PBE.

Results
* formation energy from the elements: 0.09 eV per atom
* E_tot: -9.3150 eV per atom
* total magnetization: 0.000 μB per atom

Cell lengths 6.8687, 6.8687, 5.6204 Å; angles 52.33, 52.33, 90.00 degrees
Positions (direct):
V 0.5000 0.5000 0.0000
V 0.2500 0.7500 0.5000
Hf 0.7500 0.2500 0.5000
Hf 0.0000 0.0000 0.0000
Ru 0.5845 0.1250 0.2500
Ru 0.3750 0.4155 0.7500
Ru 0.8750 0.8345 0.7500
Ru 0.1655 0.6250 0.2500

This record from the Alexandria database describes an optimized crystal structure of KTl2Cl. The functional is PBE.

Results
* E_form (uncorrected): -0.43 eV/atom
* ΔE to the lowest computed polymorph: 1.13 eV per formula unit
* E_tot: -2.3513 eV per atom
* total magnetization: 0.000 μB per atom

Cell lengths 4.7687, 4.7687, 6.4085 Å; angles 90.00, 90.00, 90.00 degrees
Positions (direct):
Cl 0.5000 0.5000 0.2500
Tl 0.0000 0.0000 0.0148
Tl 0.0000 0.0000 0.4852
K 0.5000 0.5000 0.7500

This record from the Alexandria database describes an optimized crystal structure of Ce2PmSm3Dy6. The functional is PBE.

Results
* formation energy from the elements: 0.05 eV per atom
* E_tot: -4.8194 eV per atom
* total magnetization: 0.157 μB per atom

Cell lengths 6.1862, 6.1862, 11.7755 Å; angles 95.02, 95.02, 120.00 degrees
Site moments in Bohr magnetons follow the coordinates.
Positions (direct):
Dy 0.9170 0.5811 0.7523  0.01
Dy 0.7471 0.7471 0.2478  0.01
Dy 0.0830 0.4189 0.2477  0.01
Dy 0.5811 0.9170 0.7523  0.01
Dy 0.4189 0.0830 0.2477  0.01
Dy 0.2529 0.2529 0.7522  0.01
Sm 0.8338 0.1662 0.5000  -0.01
Sm 0.5000 0.5000 0.5000  -0.01
Sm 0.1662 0.8338 0.5000  -0.01
Ce 0.3334 0.6666 0.0000  0.73
Ce 0.6666 0.3334 0.0000  0.73
Pm 0.0000 0.0000 0.0000  0.01

This record from the Alexandria database describes an optimized crystal structure of Be2TcO. The functional is PBE.

Results
* E_form (uncorrected): 0.58 eV/atom
* ΔE to the lowest computed polymorph: 4.50 eV per formula unit
* E_tot: -5.1131 eV per atom
* total magnetization: 0.174 μB per atom

Cell lengths 3.8563, 3.8563, 3.8563 Å; angles 60.00, 60.00, 60.00 degrees
Site moments in Bohr magnetons follow the coordinates.
Positions (direct):
Tc 0.5000 0.5000 0.5000  0.64
O 0.0000 0.0000 0.0000  0.01
Be 0.2500 0.2500 0.2500  -0.01
Be 0.7500 0.7500 0.7500  -0.01

This record from the Alexandria database describes an optimized crystal structure of ScInTe2. The functional is PBE.

Results
* E_form (uncorrected): -0.84 eV/atom
* E_tot: -4.6784 eV per atom
* total magnetization: 0.000 μB per atom

Cell lengths 4.1940, 4.1940, 8.5442 Å; angles 75.79, 75.79, 60.00 degrees
Positions (direct):
In 0.4999 0.4999 0.5003
Te 0.0686 0.0686 0.7943
Te 0.2644 0.2644 0.2069
Sc 0.6672 0.6672 0.9985